No. 1
Ag4HgRu | GGA-PBE | optimized geometry

```
Ag4HgRu
1.0
-0.395 -5.007 2.027
-3.018 -0.908 4.405
-4.657 -2.733 -0.424
Ru Ag Hg
1 4 1
Cartesian
0.000 0.000 0.000
-4.536 -3.695 4.459
-5.358 -4.610 2.039
-3.222 -5.750 3.268
-3.024 -3.240 2.251
-6.052 -6.486 4.506
```

Output
- space-group type = F-43m
- energy of formation (eV per atom) = 0.5717

No. 2
GdTmInAu | GGA-PBE | optimized geometry

```
GdTmInAu
1.0
5.211 0.000 0.000
2.605 4.513 0.000
2.605 1.504 4.255
Gd Tm In Au
1 1 1 1
Cartesian
7.816 4.513 3.191
2.605 1.504 1.064
5.211 3.009 2.127
0.000 0.000 0.000
```

Output
- space-group type = F-43m
- energy of formation (eV per atom) = -0.6139

No. 3
TbPm2Lu | GGA-PBE | optimized geometry

```
TbPm2Lu
1.0
-2.658 -0.669 -2.313
2.401 -0.489 -2.618
0.486 -9.809 2.278
Pm Tb Lu
2 1 1
Cartesian
0.366 -7.391 1.716
0.120 -2.418 0.561
0.115 -5.483 -1.327
-0.128 -0.579 -2.465
```

Output
- space-group type = P4/mmm
- energy of formation (eV per atom) = 0.0225
- E above lowest polymorph (eV/atom) = 0.0032

No. 4
Ba2LaNbBr | GGA-PBE | optimized geometry

```
Ba2LaNbBr
1.0
-5.617 1.213 3.107
-1.783 -4.382 -1.513
2.372 -2.827 5.391
La Nb Ba Br
1 1 2 1
Cartesian
-2.514 -2.998 3.493
0.000 0.000 0.000
-2.809 0.606 1.554
1.186 -1.413 2.696
-0.892 -2.191 -0.757
```

Output
- formation energy without anion corrections (eV per formula unit) = 3.1
- space-group type = P4/mmm

No. 5
Cs4CdI6 | GGA-PBE | optimized geometry

```
Cs4CdI6
1.0
9.291 0.000 2.805
4.267 9.396 2.654
-0.026 -0.233 16.873
Cs I Cd
8 12 2
Cartesian
7.427 2.299 16.261
5.543 7.114 7.935
7.045 1.325 5.030
7.191 8.929 14.293
2.760 5.907 12.860
2.561 4.348 3.772
7.770 7.154 19.661
8.398 2.573 10.728
4.194 2.413 13.936
11.229 5.020 19.708
11.383 5.314 11.604
8.321 5.920 16.168
6.908 6.140 11.424
4.358 1.325 18.411
5.491 0.439 8.852
9.873 1.339 7.513
8.666 0.122 13.495
9.522 7.227 7.787
6.041 4.937 4.945
0.532 0.499 16.085
2.655 2.352 16.336
9.476 7.166 10.638
```

Output
- formation energy without anion corrections (eV per formula unit) = -14.0
- space-group type = Cc

No. 6
ZrOsSe | GGA-PBE | optimized geometry

```
ZrOsSe
1.0
3.769 0.000 0.000
0.000 9.231 0.000
0.000 0.000 6.550
Se Zr Os
4 4 4
Cartesian
0.942 1.340 1.171
0.942 3.276 4.446
2.827 5.955 4.446
2.827 7.892 1.171
2.827 1.504 5.613
2.827 3.111 2.338
0.942 7.727 5.613
0.942 6.120 2.338
2.827 5.466 0.406
2.827 8.381 3.681
0.942 0.850 3.681
0.942 3.766 0.406
```

Output
- formation energy without anion corrections (eV per formula unit) = -1.3
- space-group type = Ima2

No. 7
InTeSe2 | GGA-PBE | optimized geometry

```
InTeSe2
1.0
-3.698 -1.437 5.545
0.851 -4.959 4.601
3.118 4.961 -3.487
Te In Se
1 1 2
Cartesian
1.273 -1.598 3.094
-1.002 0.163 3.566
-1.423 -3.198 5.073
0.000 0.000 0.000
```

Output
- formation energy without anion corrections (eV per formula unit) = 0.7
- space-group type = I4/mmm
- E above lowest polymorph (eV/atom) = 0.4012

No. 8
AlOsRh6 | GGA-PBE | optimized geometry

```
AlOsRh6
1.0
-0.496 -3.556 -1.342
3.615 -0.859 0.940
-2.354 -2.295 6.954
Rh Al Os
6 1 1
Cartesian
-0.847 -2.362 1.100
0.382 -3.355 3.276
1.559 -2.208 -0.201
0.053 -2.140 5.654
1.208 -1.014 2.240
-2.003 -3.489 4.513
0.000 0.000 0.000
-1.177 -1.148 3.477
```

Output
- space-group type = P4/mmm
- energy of formation (eV per atom) = -0.2427

No. 9
AsIr2Ru | GGA-PBE | optimized geometry

```
AsIr2Ru
1.0
-2.115 1.886 0.242
-1.197 -1.601 2.023
3.766 3.574 5.058
As Ru Ir
1 1 2
Cartesian
1.152 2.807 4.902
1.908 1.811 2.562
3.736 3.545 5.017
-0.690 1.058 2.428
```

Output
- space-group type = P4mm
- energy of formation (eV per atom) = 0.1795

No. 10
SrPuCl4 | GGA-PBE | optimized geometry

```
SrPuCl4
1.0
-2.855 -4.879 -5.733
7.514 2.533 -1.396
0.085 -4.154 6.896
Cl Pu Sr
8 2 2
Cartesian
6.461 -1.721 2.015
5.273 -4.697 -0.431
-1.750 -4.770 -2.260
6.943 0.751 -1.132
2.970 -3.575 3.081
1.267 -5.414 -0.076
1.806 -2.942 -3.362
3.499 -1.089 -0.128
3.508 -1.766 -5.368
-1.371 -4.523 0.561
1.163 -0.585 -1.779
0.943 -5.689 -2.980
```

Output
- formation energy without anion corrections (eV per formula unit) = -12.4
- space-group type = I4_1md
- E above lowest polymorph (eV/atom) = 0.0436

No. 11
TbBePt | GGA-PBE | optimized geometry

```
TbBePt
1.0
-6.487 0.929 -1.298
-0.898 -6.615 -0.247
-1.081 -0.054 5.367
Pt Tb Be
4 4 4
Cartesian
-0.685 -0.528 -0.143
-3.444 -3.556 0.667
-5.022 -2.183 3.155
-7.240 -5.185 1.282
-5.285 -1.071 0.321
-3.181 -4.669 3.501
-2.288 -1.372 2.318
-5.637 -4.340 -1.179
-2.119 -5.345 0.916
-6.347 -0.395 2.906
-2.436 -1.876 -0.510
-5.489 -3.837 1.648
```

Output
- space-group type = P4_12_12
- energy of formation (eV per atom) = -0.5880
- E above lowest polymorph (eV/atom) = 0.2671

No. 12
InCu6S4 | GGA-PBE | optimized geometry

```
InCu6S4
1.0
-2.557 2.944 -0.191
-0.589 -0.258 3.851
10.596 6.583 0.058
S Cu In
4 6 1
Cartesian
3.499 3.069 0.728
7.584 6.672 1.594
-0.134 2.597 2.123
3.951 6.200 2.989
2.023 1.899 2.405
6.412 5.768 3.334
1.039 3.501 0.384
4.217 3.834 2.868
5.428 7.370 1.312
3.234 5.434 0.849
0.000 0.000 0.000
```

Output
- formation energy without anion corrections (eV per formula unit) = -1.6
- space-group type = C2/m

No. 13
Dy2TlPb2 | GGA-PBE | optimized geometry

```
Dy2TlPb2
1.0
5.368 0.000 0.000
-2.684 4.649 0.000
0.000 0.000 6.362
Tl Dy Pb
1 2 2
Cartesian
0.000 0.000 0.000
0.000 3.099 1.165
2.684 1.550 5.197
2.684 1.550 2.076
0.000 3.099 4.286
```

Output
- space-group type = P-3m1
- energy of formation (eV per atom) = -0.2401
- E above lowest polymorph (eV/atom) = 0.0000

No. 14
Li2ErAg2Hg2 | GGA-PBE | optimized geometry

```
Li2ErAg2Hg2
1.0
-1.422 2.116 4.031
1.236 -1.839 4.223
5.879 4.085 2.751
Er Ag Hg Li
1 2 2 2
Cartesian
0.000 0.000 0.000
1.621 1.357 5.503
4.072 3.004 5.502
4.629 3.512 8.254
1.065 0.849 2.751
2.423 2.030 8.254
3.271 2.332 2.751
```

Output
- space-group type = R-3m
- energy of formation (eV per atom) = -0.2553

No. 15
Sr2Zn4Si3Sn | GGA-PBE | optimized geometry

```
Sr2Zn4Si3Sn
1.0
-3.742 2.272 -0.528
-2.182 -3.762 -0.727
-2.005 -0.866 10.494
Sr Zn Si Sn
2 4 3 1
Cartesian
-2.347 0.931 2.226
-2.620 -2.541 7.640
-3.168 0.576 6.524
0.000 0.000 0.000
-2.962 -0.745 -0.627
-1.799 -2.187 3.342
-3.624 0.379 8.909
-1.343 -1.990 0.957
-1.003 -0.433 5.247
-3.964 -1.178 4.619
```

Output
- formation energy without anion corrections (eV per formula unit) = -2.8
- space-group type = P-4m2

No. 16
NdPuTe2O | GGA-PBE | optimized geometry

```
NdPuTe2O
1.0
-3.825 1.561 0.742
-1.725 -3.558 -1.407
0.406 -6.097 14.921
Pu Te O Nd
2 4 2 2
Cartesian
-1.683 -2.667 8.808
-0.686 -4.429 5.781
-1.540 -4.818 14.074
-0.589 -5.890 9.358
-1.780 -1.205 5.231
-0.829 -2.277 0.515
0.203 -3.048 7.461
-2.572 -4.047 7.128
-0.513 -7.029 12.145
-1.856 -0.067 2.444
```

Output
- formation energy without anion corrections (eV per formula unit) = -9.3
- space-group type = P4/nmm

No. 17
Na2Te2Au | GGA-PBE | optimized geometry

```
Na2Te2Au
1.0
9.106 0.000 0.000
0.000 9.106 0.000
0.000 0.000 3.211
Te Au Na
4 2 4
Cartesian
6.147 7.513 1.605
2.959 1.594 1.605
7.513 2.959 1.605
1.594 6.147 1.605
4.553 4.553 0.000
0.000 0.000 0.000
7.958 5.701 0.000
1.148 3.405 0.000
3.405 7.958 0.000
5.701 1.148 0.000
```

Output
- formation energy without anion corrections (eV per formula unit) = -1.2
- space-group type = P4/mbm
- E above lowest polymorph (eV/atom) = 0.3161

No. 18
MnGeSN | GGA-PBE | optimized geometry

```
MnGeSN
1.0
3.224 0.000 0.000
-1.612 2.792 0.000
0.000 0.000 19.085
N Ge S Mn
3 3 3 3
Cartesian
0.000 0.000 11.691
0.000 1.861 5.329
1.612 0.931 18.052
0.000 1.861 1.438
1.612 0.931 14.161
0.000 0.000 7.799
0.000 1.861 15.623
1.612 0.931 9.262
0.000 0.000 2.900
0.000 0.000 5.273
0.000 1.861 17.996
1.612 0.931 11.634
```

Output
- formation energy without anion corrections (eV per formula unit) = 0.1
- space-group type = R3m
- E above lowest polymorph (eV/atom) = 0.1556

No. 19
Tb5AlIn4 | GGA-PBE | optimized geometry

```
Tb5AlIn4
1.0
-2.736 -2.466 -0.200
2.283 -2.402 -1.620
4.987 -6.932 17.304
Tb In Al
5 4 1
Cartesian
0.232 -3.071 0.681
3.292 -7.324 11.297
4.303 -8.729 14.803
2.268 -5.900 7.742
1.243 -4.476 4.187
0.965 -1.341 3.347
1.981 -2.754 6.874
4.023 -5.591 13.957
3.006 -4.179 10.430
0.000 0.000 0.000
```

Output
- space-group type = P4/mmm
- energy of formation (eV per atom) = -0.4574

No. 20
NbVCd | GGA-PBE | optimized geometry

```
NbVCd
1.0
4.409 0.000 0.000
0.000 14.081 0.000
0.000 0.000 3.389
V Cd Nb
4 4 4
Cartesian
2.205 11.573 0.000
2.205 2.508 0.000
0.000 9.548 0.000
0.000 4.533 0.000
2.205 7.040 0.000
0.000 0.000 0.000
0.000 7.040 1.694
2.205 0.000 1.694
0.000 11.640 1.694
2.205 4.599 1.694
2.205 9.481 1.694
0.000 2.441 1.694
```

Output
- space-group type = Cmmm
- energy of formation (eV per atom) = 0.1545
- E above lowest polymorph (eV/atom) = 0.0073

no.,mass density (kg/m³),DFT total energy (eV per atom)
1,10836,-2.93
2,10588,-6.76
3,7991,-4.64
4,4593,-3.49
5,3161,-2.51
6,10505,-8.18
7,6348,-3.03
8,12266,-7.63
9,15877,-7.73
10,3928,-5.97
11,9869,-5.39
12,5595,-4.13
13,9870,-4.04
14,9398,-2.35
15,5098,-3.16
16,7710,-7.92
17,6213,-2.68
18,5036,-6.53
19,8101,-4.24
20,8090,-6.55